A plane-wave DFT calculation with PBE was carried out for an optimized crystal structure of AgBi2Pt.

Computed properties:
DOS(E_F) (states/eV/f.u.): 1.10
Energy of formation (meV per atom): -4
SG: P4/mmm, No. 123
Total DFT energy (no corrections) (eV/cell): -16.67
Spin magnetization (μB per atom): 0.0000

Geometry as CIF:
```
data_AgBi2Pt
_symmetry_space_group_name_H-M 'P 1'
_symmetry_Int_Tables_number 1
_symmetry_space_group_name_Hall 'P 1'
_cell_length_a 3.426
_cell_length_b 3.426
_cell_length_c 7.931
_cell_angle_alpha 90.00
_cell_angle_beta 90.00
_cell_angle_gamma 90.00
loop_
_atom_site_label
_atom_site_fract_x
_atom_site_fract_y
_atom_site_fract_z
Ag1 0.500 0.500 0.000
Bi1 0.000 0.000 0.729
Bi2 0.000 0.000 0.271
Pt1 0.500 0.500 0.500
```